A geometry-optimized Li3Cr2Fe3O10 structure, computed with PBE with a Hubbard U.

The structure belongs to space group P-1 (No. 2); the cell edges are 5.1219, 5.1656 and 7.7876 Å and the angles 72.89°, 72.76° and 78.06°. The asymmetric unit holds Li at (0.0000, 0.0000, 0.0000), Li at (0.4898, 0.7172, 0.0983), Cr at (0.0192, 0.3925, 0.1885), Fe at (0.0258, 0.1871, 0.6036), Fe at (0.5000, 0.5000, 0.5000), O at (0.1961, 0.0452, 0.1667), O at (0.2117, 0.6101, 0.9787), O at (0.2128, 0.8191, 0.5641), O at (0.2344, 0.4566, 0.3574) and O at (0.2489, 0.3010, 0.7337).

The total energy comes out at -117.0 eV/cell. The value obtained for the density is 4.03 Mg/m³.